! La2ZrW | Alexandria via LeMat-Bulk | PBE | relaxed; values from VASP
! symmetry	No. 160
! formation energy from the elements	0.475	eV per atom
! total energy	-7.3636	eV per atom
&SYSTEM
  ibrav = 0, nat = 4, ntyp = 3
/
ATOMIC_SPECIES
W 183.84 W.upf
La 138.91 La.upf
Zr 91.22 Zr.upf
CELL_PARAMETERS angstrom
-0.9526 -0.7682 10.4314
0.1058 -3.9979 9.7117
2.4380 -1.4544 10.1120
ATOMIC_POSITIONS angstrom
W 0.7856 -3.0712 14.9377
La 0.0115 -0.0450 0.2188
La 0.3720 -1.4542 7.0729
Zr 1.2177 -4.7604 23.1534

=====

! La2ZrW | Alexandria via LeMat-Bulk | PBE | relaxed; values from VASP
! symmetry	No. 47
! formation energy from the elements	0.604	eV per atom
! total energy	-7.2350	eV per atom
&SYSTEM
  ibrav = 0, nat = 4, ntyp = 3
/
ATOMIC_SPECIES
Zr 91.22 Zr.upf
La 138.91 La.upf
W 183.84 W.upf
CELL_PARAMETERS angstrom
3.0862 0.0000 0.0000
0.0000 5.1994 0.0000
0.0000 0.0000 6.2272
ATOMIC_POSITIONS angstrom
Zr 1.5431 2.5997 4.6704
La 0.0000 0.0000 3.0156
W 1.5431 2.5997 1.5568
La 0.0000 0.0000 0.0980

=====

! La2ZrW | Alexandria via LeMat-Bulk | PBE | relaxed; values from VASP
! symmetry	No. 65
! formation energy from the elements	0.621	eV per atom
! total energy	-7.2182	eV per atom
&SYSTEM
  ibrav = 0, nat = 4, ntyp = 3
/
ATOMIC_SPECIES
Zr 91.22 Zr.upf
La 138.91 La.upf
W 183.84 W.upf
CELL_PARAMETERS angstrom
3.1423 0.0052 0.0000
-1.3427 2.8410 0.0000
0.0000 0.0000 11.1482
ATOMIC_POSITIONS angstrom
Zr 0.8998 1.4231 8.3612
La 0.0000 0.0000 5.2389
W 0.8998 1.4231 2.7871
La 0.0000 0.0000 0.3352

=====

! La2ZrW | Alexandria via LeMat-Bulk | PBE | relaxed; values from VASP
! symmetry	No. 123
! formation energy from the elements	0.704	eV per atom
! total energy	-7.1352	eV per atom
&SYSTEM
  ibrav = 0, nat = 4, ntyp = 3
/
ATOMIC_SPECIES
W 183.84 W.upf
La 138.91 La.upf
Zr 91.22 Zr.upf
CELL_PARAMETERS angstrom
-1.5180 -2.9308 4.1162
4.9864 -1.5642 0.7251
0.5745 2.8805 2.2628
ATOMIC_POSITIONS angstrom
W -0.4717 -0.0251 3.1895
La 1.7342 -2.2475 2.4207
La 0.0000 0.0000 0.0000
Zr 2.7805 0.6581 1.4940

=====

! La2ZrW | Alexandria via LeMat-Bulk | PBE | relaxed; values from VASP
! symmetry	No. 166
! formation energy from the elements	0.714	eV per atom
! total energy	-7.1251	eV per atom
&SYSTEM
  ibrav = 0, nat = 4, ntyp = 3
/
ATOMIC_SPECIES
W 183.84 W.upf
La 138.91 La.upf
Zr 91.22 Zr.upf
CELL_PARAMETERS angstrom
-9.1528 1.5045 3.6937
-9.4048 -1.8571 2.7896
-8.0175 -0.9775 5.8690
ATOMIC_POSITIONS angstrom
W -6.6438 -0.3325 3.0881
La -13.5175 -0.6766 6.2831
La -26.3452 -1.3186 12.2455
Zr -19.9314 -0.9976 9.2643

=====

! La2ZrW | Alexandria via LeMat-Bulk | PBE | relaxed; values from VASP
! symmetry	No. 71
! formation energy from the elements	0.511	eV per atom
! total energy	-7.3283	eV per atom
&SYSTEM
  ibrav = 0, nat = 4, ntyp = 3
/
ATOMIC_SPECIES
W 183.84 W.upf
La 138.91 La.upf
Zr 91.22 Zr.upf
CELL_PARAMETERS angstrom
-5.1098 -3.5348 2.1401
0.1669 -6.4690 1.1440
2.4791 5.9528 1.2660
ATOMIC_POSITIONS angstrom
W -2.5511 -1.2919 2.5241
La -4.7203 -9.5530 3.1362
Zr 0.0873 -2.7591 2.0261
La -2.6942 -5.4527 1.7901

=====

! La2ZrW | Alexandria via LeMat-Bulk | PBE | relaxed; values from VASP
! symmetry	No. 12
! formation energy from the elements	0.649	eV per atom
! total energy	-7.1905	eV per atom
&SYSTEM
  ibrav = 0, nat = 4, ntyp = 3
/
ATOMIC_SPECIES
W 183.84 W.upf
La 138.91 La.upf
Zr 91.22 Zr.upf
CELL_PARAMETERS angstrom
-5.8328 1.3428 -0.0824
1.4201 -5.9357 -0.0700
-0.7954 -0.7887 2.9616
ATOMIC_POSITIONS angstrom
W 0.3124 -3.3622 1.4458
La -3.3141 0.2770 1.4396
La 0.0000 0.0000 0.0000
Zr -2.2064 -2.2965 -0.0762

=====

! La2ZrW | Alexandria via LeMat-Bulk | PBE | relaxed; values from VASP
! symmetry	No. 225
! formation energy from the elements	0.701	eV per atom
! total energy	-7.1384	eV per atom
&SYSTEM
  ibrav = 0, nat = 4, ntyp = 3
/
ATOMIC_SPECIES
W 183.84 W.upf
Zr 91.22 Zr.upf
La 138.91 La.upf
CELL_PARAMETERS angstrom
0.0000 3.6971 3.6971
3.6971 0.0000 3.6971
3.6971 3.6971 0.0000
ATOMIC_POSITIONS angstrom
W 3.6971 3.6971 3.6971
Zr 0.0000 0.0000 0.0000
La 1.8485 1.8485 1.8485
La 5.5456 5.5456 5.5456

=====

Number 1: E above lowest polymorph 0.67 eV per formula unit. Number 2: E above lowest polymorph 1.18 eV per formula unit. Number 3: E above lowest polymorph 1.25 eV per formula unit. Number 4: E above lowest polymorph 1.58 eV per formula unit. Number 5: E above lowest polymorph 1.62 eV per formula unit. Number 6: E above lowest polymorph 0.81 eV per formula unit. Number 7: E above lowest polymorph 1.36 eV per formula unit. Number 8: E above lowest polymorph 1.57 eV per formula unit.